# 1
Computed, not measured: RbSrLi2Ni at its PBEsol-relaxed geometry at the meta-GGA SCAN level of DFT.

* space group: P4/mmm (123)
* energy of formation: 1.281 eV per atom

Structure (POSCAR):
```
RbSrLi2Ni
1.0
4.772 0.000 0.000
0.000 4.772 0.000
0.000 0.000 6.271
Ni Rb Li Sr
1 1 2 1
direct
0.500 0.500 0.500
0.000 0.000 0.000
0.000 0.500 0.000
0.500 0.000 0.000
0.000 0.000 0.500
```

=====

# 2
Computed, not measured: RbLiTaNi2 at its PBEsol-relaxed geometry at the meta-GGA SCAN level of DFT.

* space group: P4/mmm (123)
* energy of formation: 1.676 eV per atom

Structure (POSCAR):
```
RbLiTaNi2
1.0
4.386 0.000 0.000
0.000 4.386 0.000
0.000 0.000 4.528
Ni Li Rb Ta
2 1 1 1
direct
0.500 0.000 0.000
0.000 0.500 0.000
0.000 0.000 0.000
0.500 0.500 0.500
0.000 0.000 0.500
```

=====

# 3
Computed, not measured: LiRe2Ni at its PBEsol-relaxed geometry at the meta-GGA SCAN level of DFT.

* space group: I4/mmm (139)
* energy of formation: 0.195 eV per atom
* E above lowest polymorph: 0.094 eV per atom

Structure (POSCAR):
```
LiRe2Ni
1.0
-2.255 -0.872 -2.644
-0.365 -3.281 1.394
-1.727 3.338 2.799
Ni Re Li
1 2 1
direct
0.000 0.000 0.000
0.750 0.250 0.500
0.250 0.750 0.500
0.500 0.500 0.000
```